No. 1
# SbTe3Pb

A relaxed SbTe3Pb crystal (PBE, the Alexandria database).

Unit cell a=5.785 b=5.785 c=5.785 alpha=90.00 beta=90.00 gamma=90.00
Sites, in units of the cell vectors:
Te: 0.000 0.500 0.000
Te: 0.000 0.000 0.500
Te: 0.500 0.000 0.000
Sb: 0.500 0.500 0.500
Pb: 0.000 0.000 0.000

Values from the calculation:
Magnetic moment (μB/cell): 0.000
Formation energy without anion corrections (eV per atom): 0.70
Polymorph energy (0 for the lowest one) (kJ/mol of formula units): 417

=====

No. 2
# SbTePb

A relaxed SbTePb crystal (PBE, the Alexandria database).

Unit cell a=6.198 b=6.198 c=6.198 alpha=139.01 beta=139.45 gamma=59.03
Sites, in units of the cell vectors:
Pb: 0.999 0.999 0.000
Sb: 0.633 0.633 0.000
Te: 0.368 0.368 0.000

Values from the calculation:
Magnetic moment (μB/cell): 0.000
Formation energy without anion corrections (eV per atom): 0.04
Polymorph energy (0 for the lowest one) (kJ/mol of formula units): 21

=====

No. 3
# Sb2Te2Pb

A relaxed Sb2Te2Pb crystal (PBE, the Alexandria database).

Unit cell a=4.290 b=4.290 c=9.257 alpha=76.60 beta=76.60 gamma=90.00
Sites, in units of the cell vectors:
Sb: 0.750 0.250 0.500
Sb: 0.250 0.750 0.500
Te: 0.407 0.407 0.186
Te: 0.593 0.593 0.814
Pb: 0.000 0.000 0.000

Values from the calculation:
Magnetic moment (μB/cell): 0.000
Formation energy without anion corrections (eV per atom): 0.08
Polymorph energy (0 for the lowest one) (kJ/mol of formula units): 12

=====

No. 4
# SbTePb2

A relaxed SbTePb2 crystal (PBE, the Alexandria database).

Unit cell a=3.890 b=5.610 c=5.532 alpha=90.00 beta=90.00 gamma=90.00
Sites, in units of the cell vectors:
Sb: 0.500 0.000 0.500
Pb: 0.500 0.500 0.000
Pb: 0.000 0.000 0.000
Te: 0.000 0.500 0.500

Values from the calculation:
Magnetic moment (μB/cell): 0.000
Formation energy without anion corrections (eV per atom): 0.05
Polymorph energy (0 for the lowest one) (kJ/mol of formula units): 67

=====

No. 5
# Sb4TePb

A relaxed Sb4TePb crystal (PBE, the Alexandria database).

Unit cell a=6.337 b=6.337 c=6.337 alpha=60.00 beta=60.00 gamma=60.00
Sites, in units of the cell vectors:
Pb: 0.000 0.000 0.000
Sb: 0.378 0.378 0.867
Sb: 0.378 0.867 0.378
Sb: 0.378 0.378 0.378
Sb: 0.867 0.378 0.378
Te: 0.750 0.750 0.750

Values from the calculation:
Magnetic moment (μB/cell): 0.000
Formation energy without anion corrections (eV per atom): 0.27

=====

No. 6
# SbTePb2

A relaxed SbTePb2 crystal (PBE, the Alexandria database).

Unit cell a=6.537 b=6.537 c=6.537 alpha=145.21 beta=129.17 gamma=63.08
Sites, in units of the cell vectors:
Pb: 0.984 0.984 0.000
Pb: 0.266 0.766 0.500
Sb: 0.507 0.507 0.000
Te: 0.742 0.242 0.500

Values from the calculation:
Magnetic moment (μB/cell): 0.000
Formation energy without anion corrections (eV per atom): 0.00
Polymorph energy (0 for the lowest one) (kJ/mol of formula units): 45

=====

No. 7
# SbTePb2

A relaxed SbTePb2 crystal (PBE, the Alexandria database).

Unit cell a=4.251 b=4.229 c=8.089 alpha=58.55 beta=90.00 gamma=90.00
Sites, in units of the cell vectors:
Pb: 0.000 0.505 0.497
Pb: 0.000 0.995 0.003
Te: 0.500 0.750 0.750
Sb: 0.500 0.250 0.250

Values from the calculation:
Magnetic moment (μB/cell): 0.000
Formation energy without anion corrections (eV per atom): -0.02
Polymorph energy (0 for the lowest one) (kJ/mol of formula units): 40

=====

No. 8
# SbTePb

A relaxed SbTePb crystal (PBE, the Alexandria database).

Unit cell a=4.446 b=4.446 c=13.143 alpha=70.10 beta=70.10 gamma=59.88
Sites, in units of the cell vectors:
Te: 0.547 0.547 0.900
Te: 0.081 0.081 0.601
Sb: 0.559 0.559 0.377
Sb: 0.324 0.324 0.735
Pb: 0.977 0.977 0.250
Pb: 0.772 0.772 0.060

Values from the calculation:
Magnetic moment (μB/cell): 0.000
Formation energy without anion corrections (eV per atom): -0.04
Polymorph energy (0 for the lowest one) (kJ/mol of formula units): 0

=====

Question: Look up the formation energy without anion corrections of the first one.
Answer: 0.70 eV per atom

=====

Question: Look up the formation energy without anion corrections of the fifth one.
Answer: 0.27 eV per atom

=====

Question: Which of these has the highest formation energy without anion corrections?
Answer: SbTe3Pb

=====

Question: Look up the formation energy without anion corrections of the third one.
Answer: 0.08 eV per atom